DFT (PBE-GGA) results for a relaxed structure of CaUTeO2.

Cell: 3.9267 3.9267 6.9502 Å, 106.41 106.41 90.00°
With the nearest neighbours (Å) after each atom.
Fractional coordinates of all 5 atoms:
Te 0.5059 0.5059 0.0119  4 U 3.42, 4 Ca 3.45, 4 O 3.61
O 0.2433 0.7433 0.4867  2 U 2.22, 2 Ca 2.35
O 0.7433 0.2433 0.4867  2 U 2.22, 2 Ca 2.35
Ca 0.8449 0.8449 0.6897  4 O 2.35
U 0.1625 0.1625 0.3251  4 O 2.22

- Electronic total energy: -38.991 eV/cell
- ΔE_f (raw): -2.5287 eV per atom